First-principles (GGA-PBE) data for crystalline LaTh3Mn at its relaxed geometry, as listed in Alexandria.

Cell: 5.352 5.352 5.352 Å, 90.00 90.00 90.00°
Sites, in units of the cell vectors:
Mn (0.000, 0.000, 0.000)
Th (0.000, 0.500, 0.000)
Th (0.000, 0.000, 0.500)
Th (0.500, 0.000, 0.000)
La (0.500, 0.500, 0.500)

Summary:
M_tot = 0.0 μB per formula unit
ΔH_f (0 K) = 133 meV per atom
raw total energy = -35.69 eV/f.u.
DOS at the Fermi energy = 8.968 states/eV/cell

***

First-principles (GGA-PBE) data for crystalline BaMg2ZnHg5 at its relaxed geometry, as listed in Alexandria.

Cell: 5.093 6.842 8.377 Å, 114.10 107.70 90.00°
Sites, in units of the cell vectors:
Ba (0.000, 0.500, 0.000)
Mg (0.192, 0.192, 0.384)
Mg (0.808, 0.808, 0.616)
Zn (0.500, 0.000, 0.000)
Hg (0.657, 0.910, 0.314)
Hg (0.343, 0.090, 0.686)
Hg (0.343, 0.596, 0.686)
Hg (0.657, 0.404, 0.314)
Hg (0.000, 0.000, 0.000)

Summary:
M_tot = 0.0 μB per formula unit
ΔH_f (0 K) = -162 meV per atom
raw total energy = -9.35 eV/f.u.
DOS at the Fermi energy = 3.644 states/eV/cell

***

First-principles (GGA-PBE) data for crystalline TiTePdSe at its relaxed geometry, as listed in Alexandria.

Cell: 4.062 4.062 7.730 Å, 74.77 74.77 60.00°
Sites, in units of the cell vectors:
Ti (0.898, 0.898, 0.306)
Te (0.122, 0.122, 0.633)
Pd (0.512, 0.512, 0.463)
Se (0.624, 0.624, 0.127)

Summary:
M_tot = 0.0 μB per formula unit
E_form (uncorrected) = -693 meV per atom
raw total energy = -22.49 eV/f.u.

***

First-principles (GGA-PBE) data for crystalline Ga2PbBrF at its relaxed geometry, as listed in Alexandria.

Cell: 5.801 4.633 5.801 Å, 90.00 90.00 90.00°
Sites, in units of the cell vectors:
Pb (0.000, 0.000, 0.000)
Ga (0.000, 0.000, 0.500)
Ga (0.500, 0.000, 0.000)
Br (0.500, 0.500, 0.500)
F (0.000, 0.500, 0.000)

Summary:
M_tot = 0.0 μB per formula unit
E_form (uncorrected) = -551 meV per atom
raw total energy = -16.06 eV/f.u.
DOS at the Fermi energy = 1.132 states/eV/cell

***

First-principles (GGA-PBE) data for crystalline CaTc2Rh at its relaxed geometry, as listed in Alexandria.

Cell: 3.143 4.311 4.886 Å, 90.00 90.00 90.00°
Sites, in units of the cell vectors:
Ca (0.500, 0.000, 0.500)
Rh (0.000, 0.500, 0.500)
Tc (0.000, 0.000, 0.000)
Tc (0.500, 0.500, 0.000)

Summary:
M_tot = 0.0 μB per formula unit
ΔH_f (0 K) = 345 meV per atom
raw total energy = -28.70 eV/f.u.
DOS at the Fermi energy = 3.910 states/eV/cell

***

First-principles (GGA-PBE) data for crystalline CaTaCu2 at its relaxed geometry, as listed in Alexandria.

Cell: 4.593 4.593 4.593 Å, 60.00 60.00 60.00°
Sites, in units of the cell vectors:
Ca (0.500, 0.500, 0.500)
Cu (0.000, 0.000, 0.000)
Cu (0.750, 0.750, 0.750)
Ta (0.250, 0.250, 0.250)

Summary:
M_tot = 0.9 μB per formula unit
ΔH_f (0 K) = 768 meV per atom
raw total energy = -18.98 eV/f.u.
DOS at the Fermi energy = 5.423 states/eV/cell

***

First-principles (GGA-PBE) data for crystalline LiDyTl2I6 at its relaxed geometry, as listed in Alexandria.

Cell: 8.035 8.513 11.571 Å, 90.00 89.42 90.00°
Sites, in units of the cell vectors:
Li (0.500, 0.000, 0.000)
Li (0.000, 0.500, 0.500)
Dy (0.500, 0.000, 0.500)
Dy (0.000, 0.500, 0.000)
Tl (0.032, 0.910, 0.255)
Tl (0.532, 0.590, 0.755)
Tl (0.968, 0.090, 0.745)
Tl (0.468, 0.410, 0.245)
I (0.308, 0.694, 0.051)
I (0.808, 0.806, 0.551)
I (0.692, 0.306, 0.949)
I (0.192, 0.194, 0.449)
I (0.311, 0.698, 0.449)
I (0.811, 0.802, 0.949)
I (0.689, 0.302, 0.551)
I (0.189, 0.198, 0.051)
I (0.894, 0.518, 0.252)
I (0.394, 0.982, 0.752)
I (0.106, 0.482, 0.748)
I (0.606, 0.018, 0.248)

Summary:
M_tot = 0.0 μB per formula unit
E_form (uncorrected) = -1052 meV per atom
raw total energy = -31.07 eV/f.u.
DOS at the Fermi energy = 0.000 states/eV/cell

***

First-principles (GGA-PBE) data for crystalline NaPaAgAu at its relaxed geometry, as listed in Alexandria.

Cell: 5.030 5.030 5.030 Å, 60.00 60.00 60.00°
Sites, in units of the cell vectors:
Na (0.500, 0.500, 0.500)
Pa (0.000, 0.000, 0.000)
Au (0.750, 0.750, 0.750)
Ag (0.250, 0.250, 0.250)

Summary:
M_tot = 1.1 μB per formula unit
ΔH_f (0 K) = 74 meV per atom
raw total energy = -16.65 eV/f.u.
DOS at the Fermi energy = 6.234 states/eV/cell